No. 1
! Tb3Sn3Ru PBE optimized geometry; values from VASP
! * space group: C2/m
&SYSTEM
  ibrav = 0, nat = 14, ntyp = 3
/
ATOMIC_SPECIES
Tb 158.93 Tb.upf
Sn 118.71 Sn.upf
Ru 101.07 Ru.upf
CELL_PARAMETERS angstrom
4.398 0.000 0.663
2.163 5.593 0.570
0.065 0.158 14.496
ATOMIC_POSITIONS crystal
Tb 0.518 0.344 0.619
Tb 0.735 0.773 0.757
Tb 0.601 0.720 0.077
Tb 0.482 0.656 0.381
Tb 0.399 0.280 0.923
Tb 0.265 0.227 0.243
Sn 0.019 0.195 0.766
Sn 0.876 0.172 0.077
Sn 0.124 0.828 0.923
Sn 0.149 0.236 0.465
Sn 0.851 0.764 0.535
Sn 0.981 0.805 0.234
Ru 0.760 0.099 0.382
Ru 0.240 0.901 0.618



No. 2
! Fe5Os PBE optimized geometry; values from VASP
! * space group: F-43m
&SYSTEM
  ibrav = 0, nat = 6, ntyp = 2
/
ATOMIC_SPECIES
Fe 55.84 Fe.upf
Os 190.23 Os.upf
CELL_PARAMETERS angstrom
1.688 -4.051 1.403
-2.480 -2.681 2.808
-1.822 -3.926 -1.579
ATOMIC_POSITIONS crystal
Fe 0.250 0.250 0.250
Fe 0.624 0.624 0.624
Fe 0.624 0.624 0.127
Fe 0.624 0.127 0.624
Fe 0.127 0.624 0.624
Os 0.000 0.000 0.000



No. 3
! VOsPd3 PBE optimized geometry; values from VASP
! * space group: Pm-3m
&SYSTEM
  ibrav = 0, nat = 5, ntyp = 3
/
ATOMIC_SPECIES
V 50.94 V.upf
Os 190.23 Os.upf
Pd 106.42 Pd.upf
CELL_PARAMETERS angstrom
-0.560 1.330 4.271
-3.657 -2.616 0.335
2.577 -3.423 1.403
ATOMIC_POSITIONS crystal
V 0.000 0.000 0.000
Os 0.500 0.500 0.500
Pd 0.000 0.500 0.000
Pd 0.000 0.000 0.500
Pd 0.500 0.000 0.000



No. 4
! LiTaNi2 PBE optimized geometry; values from VASP
! * space group: I-42d
&SYSTEM
  ibrav = 0, nat = 8, ntyp = 3
/
ATOMIC_SPECIES
Li 6.94 Li.upf
Ta 180.95 Ta.upf
Ni 58.69 Ni.upf
CELL_PARAMETERS angstrom
6.484 0.000 0.000
0.000 6.484 0.000
3.242 3.242 2.580
ATOMIC_POSITIONS crystal
Li 0.500 0.500 0.000
Li 0.250 0.750 0.500
Ta 0.000 0.000 0.000
Ta 0.750 0.250 0.500
Ni 0.609 0.125 0.250
Ni 0.141 0.625 0.250
Ni 0.875 0.859 0.750
Ni 0.375 0.391 0.750



| no. | DFT total energy (eV per atom) | formation energy (eV/atom) |
| --- | --- | --- |
| 1 | -5.67 | -0.65 |
| 2 | -8.74 | 0.18 |
| 3 | -5.78 | 1.41 |
| 4 | -5.99 | 0.34 |